#i
NaSmInSn, optimized geometry, DFT GGA-PBE; DOS at the Fermi energy = 0.42 states/eV/atom; magnetization = 0.0 μB per formula unit; space-group type = Pmmm (47)
1.0
-4.5505 0.1119 0.1565
0.0392 -3.2178 3.4392
0.2037 3.5891 3.3557
Sm Na In Sn
1 1 1 1
direct
0.5000 0.5000 0.0000 Sm
0.5000 0.0000 0.5000 Na
0.0000 0.5000 0.5000 In
0.0000 0.0000 0.0000 Sn

=====

#ii
NaSmInSn, optimized geometry, DFT GGA-PBE; DOS at the Fermi energy = 0.54 states/eV/atom; magnetization = 0.0 μB per formula unit; space-group type = F-43m (216)
1.0
-3.4959 -4.0655 -0.1684
-0.1160 -3.6040 3.9718
-4.1486 -0.1128 3.3992
In Sm Sn Na
1 1 1 1
direct
0.7500 0.7500 0.7500 In
0.5000 0.5000 0.5000 Sm
0.2500 0.2500 0.2500 Sn
0.0000 0.0000 0.0000 Na

=====

In meV per atom, relative to the most stable structure: #i 0; #ii 82.

=====

#i
NaSmTlIn, optimized geometry, DFT GGA-PBE; DOS at the Fermi energy = 0.40 states/eV/atom; magnetization = 0.0 μB per formula unit; space-group type = F-43m (216)
1.0
5.3731 0.0000 0.0000
2.6866 4.6532 0.0000
2.6866 1.5511 4.3871
Sm Na In Tl
1 1 1 1
direct
0.5000 0.5000 0.5000 Sm
0.0000 0.0000 0.0000 Na
0.2500 0.2500 0.2500 In
0.7500 0.7500 0.7500 Tl

=====

#ii
NaSmTlIn, optimized geometry, DFT GGA-PBE; DOS at the Fermi energy = 0.49 states/eV/atom; magnetization = 0.0 μB per formula unit; space-group type = Pmmm (47)
1.0
3.9296 0.0000 0.0000
0.0000 5.2959 0.0000
0.0000 0.0000 5.3244
Na Tl Sm In
1 1 1 1
direct
0.5000 0.5000 0.0000 Na
0.0000 0.0000 0.0000 Tl
0.5000 0.0000 0.5000 Sm
0.0000 0.5000 0.5000 In

=====

In meV per atom, relative to the most stable structure: #i 21; #ii 0.

=====

#i
NaIn2Sn2, optimized geometry, DFT GGA-PBE; DOS at the Fermi energy = 0.32 states/eV/atom; magnetization = 0.0 μB per formula unit; space-group type = C2/m (12)
1.0
-2.9900 0.3439 1.1239
-1.8358 0.4254 -5.0140
-0.4422 -7.9680 2.3470
Sn In Na
2 2 1
direct
0.9588 0.0999 0.1998 Sn
0.0412 0.9001 0.8002 Sn
0.8163 0.7013 0.4026 In
0.1837 0.2987 0.5974 In
0.5000 0.5000 0.0000 Na

=====

#ii
NaIn2Sn2, optimized geometry, DFT GGA-PBE; DOS at the Fermi energy = 0.44 states/eV/atom; magnetization = 0.0 μB per formula unit; space-group type = I4/mmm (139)
1.0
-4.6405 -0.9878 -2.1699
-0.7916 -3.8405 3.4412
-5.2283 1.3731 4.2845
Sn In Na
2 2 1
direct
0.3771 0.3771 0.2458 Sn
0.6229 0.6229 0.7542 Sn
0.2500 0.7500 0.5000 In
0.7500 0.2500 0.5000 In
0.0000 0.0000 0.0000 Na

=====

#iii
NaIn2Sn2, optimized geometry, DFT GGA-PBE; DOS at the Fermi energy = 0.42 states/eV/atom; magnetization = 0.0 μB per formula unit; space-group type = R-3m (166)
1.0
-3.7754 -0.3470 3.5913
0.1355 -3.8068 3.5723
1.9286 2.1470 6.0323
In Na Sn
2 1 2
direct
0.7831 0.2831 0.6506 In
0.2169 0.7169 0.3494 In
0.0000 0.5000 0.0000 Na
0.4151 0.9151 0.7547 Sn
0.5849 0.0849 0.2453 Sn

=====

In meV per atom, relative to the most stable structure: #i 0; #ii 28; #iii 44.

=====

#i
NaIn6Sn, optimized geometry, DFT GGA-PBE; DOS at the Fermi energy = 0.31 states/eV/atom; magnetization = 0.0 μB per formula unit; space-group type = Amm2 (38)
1.0
5.5987 0.0000 0.0000
0.0000 6.1242 -2.6037
0.0000 -0.8038 6.6137
Na Sn In
1 1 6
direct
0.5000 0.6667 0.3333 Na
0.0000 0.8401 0.6803 Sn
0.0000 0.3324 0.6648 In
0.0000 0.3298 0.1653 In
0.0000 0.8355 0.1653 In
0.5000 0.1635 0.3269 In
0.5000 0.1639 0.8321 In
0.5000 0.6681 0.8321 In

=====

#ii
NaIn6Sn, optimized geometry, DFT GGA-PBE; DOS at the Fermi energy = 0.34 states/eV/atom; magnetization = 0.0 μB per formula unit; space-group type = R-3m (166)
1.0
6.1731 0.5595 0.6328
-0.1181 6.1973 0.6328
-0.1181 -0.1318 6.2281
Na In Sn
1 6 1
direct
0.0000 0.0000 0.0000 Na
0.1604 0.1604 0.5361 In
0.4639 0.8396 0.8396 In
0.8396 0.8396 0.4639 In
0.8396 0.4639 0.8396 In
0.1604 0.5361 0.1604 In
0.5361 0.1604 0.1604 In
0.5000 0.5000 0.5000 Sn

=====

In meV per atom, relative to the most stable structure: #i 0; #ii 147.